(1)
The following is a PBE calculation of crystalline ScIn2FeCu4 at its relaxed geometry, from the Open Quantum Materials Database.

Cell: 4.417 4.417 6.268 Å, 90.00 90.00 90.00°
Site moments in Bohr magnetons follow the coordinates.
Fractional coordinates of all 8 atoms:
1 Cu 0.500 0.000 0.266  0.03
2 Cu 0.000 0.500 0.734  0.00
3 Cu 0.500 0.000 0.734  0.03
4 Cu 0.000 0.500 0.266  0.00
5 In 0.500 0.500 0.500  0.01
6 In 0.000 0.000 0.000  -0.01
7 Fe 0.000 0.000 0.500  2.86
8 Sc 0.500 0.500 0.000  0.05

Results
crystal system: tetragonal
magnetic moment: 3.0 μB/cell
final energy: -4.409 eV per atom

(2)
The following is a PBE calculation of crystalline TaInFeCu at its relaxed geometry, from the Open Quantum Materials Database.

Cell: 4.388 4.388 4.388 Å, 60.00 60.00 60.00°
Fractional coordinates of all 4 atoms:
1 Cu 0.750 0.750 0.750
2 Ta 0.500 0.500 0.500
3 In 0.000 0.000 0.000
4 Fe 0.250 0.250 0.250

Results
crystal system: cubic
magnetic moment: 1.2 μB/cell
final energy: -6.541 eV per atom
ΔE to the lowest computed polymorph: 0.0 meV per atom

(3)
The following is a PBE calculation of crystalline TaInFeCu at its relaxed geometry, from the Open Quantum Materials Database.

Cell: 4.415 4.415 4.415 Å, 60.00 60.00 60.00°
Fractional coordinates of all 4 atoms:
1 Fe 0.500 0.500 0.500
2 Ta 0.250 0.250 0.250
3 Cu 0.750 0.750 0.750
4 In 0.000 0.000 0.000

Results
crystal system: cubic
magnetic moment: 1.4 μB/cell
final energy: -6.304 eV per atom
ΔE to the lowest computed polymorph: 236.2 meV per atom

(4)
The following is a PBE calculation of crystalline TaInFeCu at its relaxed geometry, from the Open Quantum Materials Database.

Cell: 4.468 4.468 4.468 Å, 60.00 60.00 60.00°
Fractional coordinates of all 4 atoms:
1 In 0.000 0.000 0.000
2 Cu 0.500 0.500 0.500
3 Ta 0.250 0.250 0.250
4 Fe 0.750 0.750 0.750

Results
crystal system: cubic
magnetic moment: 2.0 μB/cell
final energy: -6.219 eV per atom
ΔE to the lowest computed polymorph: 321.7 meV per atom

(5)
The following is a PBE calculation of crystalline TbTm2In3Fe2Cu at its relaxed geometry, from the Open Quantum Materials Database.

Cell: 3.893 7.415 7.415 Å, 120.18 90.00 90.00°
Site moments in Bohr magnetons follow the coordinates.
Fractional coordinates of all 9 atoms:
1 In 0.500 0.259 0.999  -0.01
2 In 0.500 0.742 0.742  -0.01
3 In 0.500 0.999 0.259  -0.01
4 Tm 0.000 0.590 0.000  -0.22
5 Tm 0.000 0.000 0.590  -0.21
6 Fe 0.500 0.668 0.332  2.15
7 Fe 0.500 0.332 0.668  2.16
8 Tb 0.000 0.411 0.411  -0.20
9 Cu 0.000 0.999 0.999  0.01

Results
crystal system: orthorhombic
magnetic moment: 3.6 μB/cell
final energy: -4.894 eV per atom

(6)
The following is a PBE calculation of crystalline InFeCuTe3 at its relaxed geometry, from the Open Quantum Materials Database.

Cell: 3.900 7.591 10.266 Å, 90.00 90.00 75.11°
Site moments in Bohr magnetons follow the coordinates.
Fractional coordinates of all 12 atoms:
1 Te 0.920 0.160 0.250  -0.03
2 Te 0.628 0.744 0.459  0.00
3 Te 0.372 0.256 0.541  0.00
4 Te 0.080 0.840 0.750  -0.03
5 Te 0.372 0.256 0.959  0.00
6 Te 0.628 0.744 0.041  0.00
7 In 0.233 0.533 0.250  0.02
8 In 0.767 0.467 0.750  0.02
9 Cu 0.533 0.934 0.250  0.04
10 Cu 0.467 0.066 0.750  0.04
11 Fe 0.000 0.000 0.000  2.66
12 Fe 0.000 0.000 0.500  2.66

Results
crystal system: orthorhombic
magnetic moment: 5.6 μB/cell
final energy: -4.032 eV per atom

(7)
The following is a PBE calculation of crystalline InFeCuW at its relaxed geometry, from the Open Quantum Materials Database.

Cell: 4.329 4.329 4.329 Å, 60.00 60.00 60.00°
Fractional coordinates of all 4 atoms:
1 W 0.500 0.500 0.500
2 In 0.000 0.000 0.000
3 Cu 0.750 0.750 0.750
4 Fe 0.250 0.250 0.250

Results
crystal system: cubic
magnetic moment: 0.0 μB/cell
final energy: -6.572 eV per atom
ΔE to the lowest computed polymorph: 0.0 meV per atom

(8)
The following is a PBE calculation of crystalline InFeCuW at its relaxed geometry, from the Open Quantum Materials Database.

Cell: 4.395 4.395 4.395 Å, 60.00 60.00 60.00°
Fractional coordinates of all 4 atoms:
1 In 0.000 0.000 0.000
2 Cu 0.750 0.750 0.750
3 W 0.250 0.250 0.250
4 Fe 0.500 0.500 0.500

Results
crystal system: cubic
magnetic moment: 1.1 μB/cell
final energy: -6.376 eV per atom
ΔE to the lowest computed polymorph: 196.0 meV per atom

(9)
The following is a PBE calculation of crystalline InFeCuW at its relaxed geometry, from the Open Quantum Materials Database.

Cell: 4.416 4.416 4.416 Å, 60.00 60.00 60.00°
Fractional coordinates of all 4 atoms:
1 Fe 0.750 0.750 0.750
2 In 0.000 0.000 0.000
3 Cu 0.500 0.500 0.500
4 W 0.250 0.250 0.250

Results
crystal system: cubic
magnetic moment: 2.1 μB/cell
final energy: -6.230 eV per atom
ΔE to the lowest computed polymorph: 342.3 meV per atom

(10)
The following is a PBE calculation of crystalline YInFeCu at its relaxed geometry, from the Open Quantum Materials Database.

Cell: 4.705 4.705 4.705 Å, 60.00 60.00 60.00°
Fractional coordinates of all 4 atoms:
1 In 0.000 0.000 0.000
2 Cu 0.750 0.750 0.750
3 Y 0.250 0.250 0.250
4 Fe 0.500 0.500 0.500

Results
crystal system: cubic
magnetic moment: 2.7 μB/cell
final energy: -5.083 eV per atom
ΔE to the lowest computed polymorph: 230.0 meV per atom

(11)
The following is a PBE calculation of crystalline YInFeCu at its relaxed geometry, from the Open Quantum Materials Database.

Cell: 4.693 4.693 4.693 Å, 60.00 60.00 60.00°
Fractional coordinates of all 4 atoms:
1 Cu 0.750 0.750 0.750
2 Fe 0.250 0.250 0.250
3 In 0.000 0.000 0.000
4 Y 0.500 0.500 0.500

Results
crystal system: cubic
magnetic moment: 2.4 μB/cell
final energy: -5.313 eV per atom
ΔE to the lowest computed polymorph: 0.0 meV per atom

(12)
The following is a PBE calculation of crystalline ZnInFeCu at its relaxed geometry, from the Open Quantum Materials Database.

Cell: 4.316 4.316 4.316 Å, 60.00 60.00 60.00°
Site moments in Bohr magnetons follow the coordinates.
Fractional coordinates of all 4 atoms:
1 Cu 0.750 0.750 0.750  0.01
2 Zn 0.500 0.500 0.500  -0.04
3 Fe 0.250 0.250 0.250  2.09
4 In 0.000 0.000 0.000  -0.05

Results
crystal system: cubic
magnetic moment: 2.0 μB/cell
final energy: -3.825 eV per atom
ΔE to the lowest computed polymorph: 0.0 meV per atom